1.
# GdFe10Si2

A PBEsol-optimized structure of GdFe10Si2 (SCAN, the Alexandria database).

Properties
The uncorrected energy is -20.2019 eV/atom. As for the space group: Immm.

```
GdFe10Si2
1.0
-1.5810 4.0415 -1.6313
-5.2462 1.7808 2.9083
2.3431 4.8569 3.1737
Si Gd Fe
2 1 10
direct
0.2635 0.2365 0.2365
0.7365 0.7635 0.7635
0.0000 0.0000 0.0000
0.3622 0.6378 0.6378
0.6378 0.3622 0.3622
0.0000 0.3556 0.6444
0.0000 0.6444 0.3556
0.5000 0.7859 0.2141
0.5000 0.2141 0.7859
0.0000 0.5000 0.0000
0.5000 0.5000 0.0000
0.0000 0.0000 0.5000
0.5000 0.0000 0.5000
```

---

2.
# Fe2RePt

A PBEsol-optimized structure of Fe2RePt (SCAN, the Alexandria database).

Properties
The value obtained for the formation energy is 37 kJ/mol of formula units. As for the space group: F-43m.

```
Fe2RePt
1.0
4.2176 0.0000 0.0000
2.1088 3.6526 0.0000
2.1088 1.2175 3.4437
Fe Pt Re
2 1 1
direct
0.0000 0.0000 0.0000
0.2500 0.2500 0.2500
0.5000 0.5000 0.5000
0.7500 0.7500 0.7500
```